1.
{
  "formula": "Cs2H6PdAu",
  "functional": "PBE",
  "state": "optimized geometry",
  "lattice": [[-3.104, -3.641, 2.257], [-1.201, -1.936, -4.774], [2.094, -6.208, -0.938]],
  "species": ["Cs", "Cs", "H", "H", "H", "H", "H", "H", "Pd", "Au"],
  "fractional_positions": [[0.750, 0.250, 0.500], [0.250, 0.750, 0.500], [0.152, 0.152, 0.696], [0.748, 0.748, 0.000], [0.252, 0.748, 0.000], [0.748, 0.252, 0.000], [0.252, 0.252, 0.000], [0.848, 0.848, 0.304], [0.000, 0.000, 0.000], [0.500, 0.500, 0.000]],
  "total_magnetization_mub_per_cell": 0.00,
  "crystal_system": "tetragonal",
  "dos_ef_per_ev_atom": 0.26,
  "energy_ev_per_atom": -3.1636
}

---

2.
{
  "formula": "LaPuInHg",
  "functional": "PBE",
  "state": "optimized geometry",
  "lattice": [[-0.819, 0.939, -5.326], [-2.705, -3.657, -3.037], [-5.023, 1.149, -1.834]],
  "species": ["La", "In", "Hg", "Pu"],
  "fractional_positions": [[0.500, 0.500, 0.500], [0.250, 0.250, 0.250], [0.750, 0.750, 0.750], [0.000, 0.000, 0.000]],
  "total_magnetization_mub_per_cell": 6.46,
  "crystal_system": "cubic",
  "e_form_mev_per_atom": -280,
  "dos_ef_per_ev_atom": 2.57
}

---

3.
{
  "formula": "CuSn2Sb2",
  "functional": "PBE",
  "state": "optimized geometry",
  "lattice": [[6.731, 0.000, 0.000], [0.000, 6.731, 0.000], [0.000, 0.000, 5.878]],
  "species": ["Sb", "Sb", "Sb", "Sb", "Sn", "Sn", "Sn", "Sn", "Cu", "Cu"],
  "fractional_positions": [[0.252, 0.752, 0.500], [0.752, 0.748, 0.500], [0.748, 0.248, 0.500], [0.248, 0.252, 0.500], [0.346, 0.846, 0.000], [0.846, 0.654, 0.000], [0.654, 0.154, 0.000], [0.154, 0.346, 0.000], [0.000, 0.000, 0.000], [0.500, 0.500, 0.000]],
  "total_magnetization_mub_per_cell": 0.00,
  "crystal_system": "tetragonal",
  "dos_ef_per_ev_atom": 0.44,
  "energy_ev_per_atom": -3.8774
}

---

4.
{
  "formula": "Cr3Se2",
  "functional": "PBE",
  "state": "optimized geometry",
  "lattice": [[9.372, -1.518, 0.001], [9.372, 1.518, 0.001], [9.126, 0.000, 2.618]],
  "species": ["Cr", "Cr", "Cr", "Se", "Se"],
  "fractional_positions": [[0.000, 0.000, 0.000], [0.808, 0.808, 0.808], [0.192, 0.192, 0.192], [0.394, 0.394, 0.394], [0.606, 0.606, 0.606]],
  "total_magnetization_mub_per_cell": 0.01,
  "crystal_system": "trigonal",
  "dos_ef_per_ev_atom": 1.19,
  "energy_ev_per_atom": -6.9410
}